1.
Compound: Bi16O25
Source: Alexandria
Functional: PBE
Structure: optimized geometry

Properties
E_form (uncorrected)   -1149 meV per atom
SG   I-42m, No. 121
VASP energy   -5.69 eV per atom

Cell and atoms, written as extended XYZ:
```
41
Lattice="-5.5716 5.5716 5.6302 5.5716 -5.5716 5.6302 5.5716 5.5716 -5.6302" Properties=species:S:1:pos:R:3 pbc="T T T"
Bi 7.0162 -1.4546 1.4875
Bi 1.4574 1.4574 -1.2792
Bi 4.1170 -1.4447 4.1427
Bi 4.1142 -4.1142 6.9094
Bi 4.1697 4.1697 -1.3800
Bi 4.1269 1.4546 1.4875
Bi 1.4018 -1.4018 7.0102
Bi 7.0261 1.4447 4.1427
Bi 1.4546 4.1269 1.4875
Bi 1.4018 1.4018 4.2502
Bi -1.4447 4.1170 4.1427
Bi -1.4018 1.4018 7.0102
Bi 4.1142 4.1142 4.3511
Bi -1.4546 7.0162 1.4875
Bi -4.1142 4.1142 6.9094
Bi 1.4447 7.0261 4.1427
O 0.0000 0.0000 0.0000
O 3.2520 0.0000 0.0000
O 7.8911 0.0000 0.0000
O 2.8433 2.8433 -2.3873
O 5.6092 3.3057 -2.8284
O 5.5716 2.2470 0.0000
O 2.7480 -2.7480 5.1556
O 2.2658 -0.0377 2.8018
O 3.3057 5.6092 -2.8284
O 0.0000 3.2520 0.0000
O 2.8235 2.8235 0.4746
O -0.0377 2.2658 2.8018
O 2.7282 -2.7282 8.0175
O 2.2470 5.5716 0.0000
O 3.3245 0.0000 5.6302
O 2.7282 2.7282 3.2429
O 5.5339 3.3057 2.8284
O -2.7480 2.7480 5.1556
O 0.0000 7.8911 0.0000
O 3.3057 5.5339 2.8284
O 2.2658 0.0377 8.4586
O 2.7480 2.7480 6.1048
O 0.0000 3.3245 5.6302
O 0.0377 2.2658 8.4586
O -2.7282 2.7282 8.0175
```

2.
Compound: BiO
Source: Alexandria
Functional: PBE
Structure: optimized geometry

Properties
E_form (uncorrected)   -634 meV per atom
SG   P4_2/mnm, No. 136
VASP energy   -5.05 eV per atom
Distance to the lowest polymorph of the same formula   0.170 eV per atom

Cell and atoms, written as extended XYZ:
```
8
Lattice="5.4263 0.0000 0.0000 0.0000 5.4263 0.0000 0.0000 0.0000 5.1069" Properties=species:S:1:pos:R:3 pbc="T T T"
Bi 1.3009 1.3009 0.0000
Bi 1.4123 4.0140 2.5534
Bi 4.0140 1.4123 2.5534
Bi 4.1255 4.1255 0.0000
O 1.0546 4.3718 0.0000
O 1.6586 1.6586 2.5534
O 3.7677 3.7677 2.5534
O 4.3718 1.0546 0.0000
```

3.
Compound: Bi4O
Source: Alexandria
Functional: PBE
Structure: optimized geometry

Properties
E_form (uncorrected)   -105 meV per atom
SG   Pm-3m, No. 221
VASP energy   -4.20 eV per atom

Cell and atoms, written as extended XYZ:
```
5
Lattice="5.0750 0.0000 0.0000 0.0000 5.0750 0.0000 0.0000 0.0000 5.0750" Properties=species:S:1:pos:R:3 pbc="T T T"
Bi 0.0000 0.0000 0.0000
Bi 0.0000 2.5375 2.5375
Bi 2.5375 0.0000 2.5375
Bi 2.5375 2.5375 0.0000
O 2.5375 2.5375 2.5375
```

4.
Compound: BiOs4O12
Source: Alexandria
Functional: PBE
Structure: optimized geometry

Properties
E_form (uncorrected)   -921 meV per atom
SG   I4/mmm, No. 139
VASP energy   -7.29 eV per atom

Cell and atoms, written as extended XYZ:
```
17
Lattice="-3.8662 3.8662 3.7324 3.8662 -3.8662 3.7324 3.8662 3.8662 -3.7324" Properties=species:S:1:pos:R:3 pbc="T T T"
Bi 0.0000 0.0000 0.0000
Os 1.9331 1.9331 -1.8662
Os 1.9331 -1.9331 1.8662
Os -1.9331 1.9331 1.8662
Os 1.9331 1.9331 1.8662
O 3.8662 -1.9972 2.2238
O 1.8690 0.0000 1.5086
O 5.8634 0.0000 1.5086
O 2.1636 2.1636 0.0000
O 1.7026 -1.7026 3.7324
O 0.0000 1.8690 1.5086
O 3.8662 1.9972 2.2238
O -1.7026 1.7026 3.7324
O 1.7026 1.7026 3.7324
O -1.9972 3.8662 2.2238
O 1.9972 3.8662 2.2238
O 0.0000 5.8634 1.5086
```

5.
Compound: BiOsO6
Source: Alexandria
Functional: PBE
Structure: optimized geometry

Properties
E_form (uncorrected)   -687 meV per atom
SG   C2/m, No. 12
VASP energy   -6.29 eV per atom

Cell and atoms, written as extended XYZ:
```
8
Lattice="2.6006 -4.5321 0.0000 2.6006 4.5321 0.0000 -1.2778 0.0000 4.9741" Properties=species:S:1:pos:R:3 pbc="T T T"
Bi 0.0000 0.0000 0.0000
Os 1.9617 0.0000 2.4871
O 1.1793 1.3091 1.3537
O 0.4384 0.0000 3.5191
O 1.1793 -1.3091 1.3537
O 2.7442 1.3091 3.6205
O 3.4850 0.0000 1.4551
O 2.7442 -1.3091 3.6205
```

6.
Compound: BiOs3O
Source: Alexandria
Functional: PBE
Structure: optimized geometry

Properties
E_form (uncorrected)   3571 meV per atom
SG   Pm-3m, No. 221
VASP energy   -4.93 eV per atom
Distance to the lowest polymorph of the same formula   2.394 eV per atom

Cell and atoms, written as extended XYZ:
```
5
Lattice="5.0616 0.0000 0.0000 0.0000 5.0616 0.0000 0.0000 0.0000 5.0616" Properties=species:S:1:pos:R:3 pbc="T T T"
Bi 0.0000 0.0000 0.0000
Os 0.0000 0.0000 2.5308
Os 0.0000 2.5308 0.0000
Os 2.5308 0.0000 0.0000
O 2.5308 2.5308 2.5308
```

7.
Compound: BiOs2O8
Source: Alexandria
Functional: PBE
Structure: optimized geometry

Properties
E_form (uncorrected)   -881 meV per atom
SG   C2/m, No. 12
VASP energy   -6.88 eV per atom
Distance to the lowest polymorph of the same formula   0.000 eV per atom

Cell and atoms, written as extended XYZ:
```
11
Lattice="4.6662 -4.3313 0.0000 4.6662 4.3313 0.0000 -0.8075 0.0000 5.6765" Properties=species:S:1:pos:R:3 pbc="T T T"
Bi 0.0000 0.0000 0.0000
Os 1.7298 0.0000 3.5794
Os 6.7950 0.0000 2.0971
O 3.1416 3.0659 1.2603
O 1.4871 0.0000 1.8075
O 5.3833 3.0659 4.4161
O 3.3696 0.0000 4.1028
O 5.1553 0.0000 1.5736
O 3.1416 -3.0659 1.2603
O 7.0377 0.0000 3.8690
O 5.3833 -3.0659 4.4161
```

8.
Compound: Bi3OsO
Source: Alexandria
Functional: PBE
Structure: optimized geometry

Properties
E_form (uncorrected)   513 meV per atom
SG   Pm-3m, No. 221
VASP energy   -5.05 eV per atom
Distance to the lowest polymorph of the same formula   0.000 eV per atom

Cell and atoms, written as extended XYZ:
```
5
Lattice="4.7860 0.0000 0.0000 0.0000 4.7860 0.0000 0.0000 0.0000 4.7860" Properties=species:S:1:pos:R:3 pbc="T T T"
Bi 0.0000 0.0000 2.3930
Bi 0.0000 2.3930 0.0000
Bi 2.3930 0.0000 0.0000
Os 2.3930 2.3930 2.3930
O 0.0000 0.0000 0.0000
```

9.
Compound: BiOsO2
Source: Alexandria
Functional: PBE
Structure: optimized geometry

Properties
E_form (uncorrected)   -227 meV per atom
SG   R-3m, No. 166
VASP energy   -6.48 eV per atom

Cell and atoms, written as extended XYZ:
```
4
Lattice="1.5221 0.8788 7.5435 -1.5221 0.8788 7.5435 0.0000 -1.7575 7.5435" Properties=species:S:1:pos:R:3 pbc="T T T"
Bi 0.0000 0.0000 0.0000
Os 0.0000 0.0000 11.3152
O 0.0000 0.0000 9.4888
O 0.0000 0.0000 13.1416
```

10.
Compound: BiOs3O
Source: Alexandria
Functional: PBE
Structure: optimized geometry

Properties
E_form (uncorrected)   1178 meV per atom
SG   Pm-3m, No. 221
VASP energy   -7.33 eV per atom
Distance to the lowest polymorph of the same formula   0.000 eV per atom

Cell and atoms, written as extended XYZ:
```
5
Lattice="4.2573 0.0000 0.0000 0.0000 4.2573 0.0000 0.0000 0.0000 4.2573" Properties=species:S:1:pos:R:3 pbc="T T T"
Bi 0.0000 0.0000 0.0000
Os 0.0000 2.1287 2.1287
Os 2.1287 0.0000 2.1287
Os 2.1287 2.1287 0.0000
O 2.1287 2.1287 2.1287
```

11.
Compound: Bi2OsO8
Source: Alexandria
Functional: PBE
Structure: optimized geometry

Properties
E_form (uncorrected)   -672 meV per atom
SG   C2/m, No. 12
VASP energy   -6.00 eV per atom

Cell and atoms, written as extended XYZ:
```
11
Lattice="8.3612 -1.6568 0.0000 8.3612 1.6568 0.0000 -2.8974 0.0000 7.3693" Properties=species:S:1:pos:R:3 pbc="T T T"
Bi 1.2904 0.0000 3.1400
Bi 12.5347 0.0000 4.2293
Os 8.3612 0.0000 0.0000
O 0.5162 0.0000 1.1124
O 2.7660 0.0000 4.8150
O 5.3078 0.0000 3.5769
O 6.7638 0.0000 0.7246
O 7.0612 0.0000 6.6447
O 8.5172 0.0000 3.7924
O 11.0590 0.0000 2.5543
O 13.3088 0.0000 6.2569
```

12.
Compound: BiOsO2
Source: Alexandria
Functional: PBE
Structure: optimized geometry

Properties
E_form (uncorrected)   43 meV per atom
SG   I-42d, No. 122
VASP energy   -6.21 eV per atom

Cell and atoms, written as extended XYZ:
```
8
Lattice="-2.9472 2.9472 4.3356 2.9472 -2.9472 4.3356 2.9472 2.9472 -4.3356" Properties=species:S:1:pos:R:3 pbc="T T T"
Bi 0.0000 0.0000 0.0000
Bi 0.0000 2.9472 2.1678
Os 2.9472 0.0000 2.1678
Os 0.0000 0.0000 4.3356
O 1.4736 -0.5053 3.2517
O 2.4419 1.4736 1.0839
O 1.4736 3.4525 -1.0839
O 0.5053 1.4736 5.4195
```

13.
Compound: BiOsO2
Source: Alexandria
Functional: PBE
Structure: optimized geometry

Properties
E_form (uncorrected)   -307 meV per atom
SG   R-3m, No. 166
VASP energy   -6.56 eV per atom

Cell and atoms, written as extended XYZ:
```
4
Lattice="1.6980 0.9803 6.2710 -1.6980 0.9803 6.2710 0.0000 -1.9607 6.2710" Properties=species:S:1:pos:R:3 pbc="T T T"
Bi 0.0000 0.0000 0.0000
Os 0.0000 0.0000 9.4065
O 0.0000 0.0000 2.4032
O 0.0000 0.0000 16.4098
```

14.
Compound: Bi5Os2O12
Source: Alexandria
Functional: PBE
Structure: optimized geometry

Properties
E_form (uncorrected)   -1130 meV per atom
SG   C2/m, No. 12
VASP energy   -6.46 eV per atom

Cell and atoms, written as extended XYZ:
```
19
Lattice="6.5591 -2.8922 0.0000 6.5591 2.8922 0.0000 -2.5067 0.0000 7.4408" Properties=species:S:1:pos:R:3 pbc="T T T"
Bi 0.0000 0.0000 0.0000
Bi 3.6025 0.0000 1.1120
Bi 2.3290 0.0000 4.9989
Bi 8.2826 0.0000 2.4419
Bi 7.0090 0.0000 6.3288
Os 5.3058 1.6156 3.7204
Os 5.3058 -1.6156 3.7204
O -0.7000 0.0000 2.2828
O 3.4312 1.4645 3.0021
O 2.2315 1.4457 6.8272
O 8.3801 1.4457 0.6136
O 7.1804 1.4645 4.4387
O 4.8929 0.0000 4.9010
O 5.7186 0.0000 2.5398
O 3.4312 -1.4645 3.0021
O 2.2315 -1.4457 6.8272
O 8.3801 -1.4457 0.6136
O 7.1804 -1.4645 4.4387
O 11.3115 0.0000 5.1580
```

15.
Compound: Bi3OsO
Source: Alexandria
Functional: PBE
Structure: optimized geometry

Properties
E_form (uncorrected)   1018 meV per atom
SG   Pm-3m, No. 221
VASP energy   -4.55 eV per atom
Distance to the lowest polymorph of the same formula   0.505 eV per atom

Cell and atoms, written as extended XYZ:
```
5
Lattice="5.2765 0.0000 0.0000 0.0000 5.2765 0.0000 0.0000 0.0000 5.2765" Properties=species:S:1:pos:R:3 pbc="T T T"
Bi 0.0000 0.0000 2.6382
Bi 0.0000 2.6382 0.0000
Bi 2.6382 0.0000 0.0000
Os 0.0000 0.0000 0.0000
O 2.6382 2.6382 2.6382
```

16.
Compound: BiOs2O8
Source: Alexandria
Functional: PBE
Structure: optimized geometry

Properties
E_form (uncorrected)   -870 meV per atom
SG   P-3m1, No. 164
VASP energy   -6.87 eV per atom
Distance to the lowest polymorph of the same formula   0.010 eV per atom

Cell and atoms, written as extended XYZ:
```
11
Lattice="6.2004 0.0000 0.0000 -3.1002 5.3697 0.0000 0.0000 0.0000 6.4183" Properties=species:S:1:pos:R:3 pbc="T T T"
Bi 0.0000 0.0000 0.0000
Os 0.0000 3.5798 4.4372
Os 3.1002 1.7899 1.9811
O 0.0000 1.8948 5.0626
O -1.4592 4.4223 5.0626
O 0.0000 3.5798 2.6979
O 1.6410 0.9474 1.3557
O 1.4592 4.4223 5.0626
O 3.1002 1.7899 3.7203
O 4.5594 0.9474 1.3557
O 3.1002 3.4749 1.3557
```

17.
Compound: BiPOsO2
Source: Alexandria
Functional: PBE
Structure: optimized geometry

Properties
E_form (uncorrected)   -221 meV per atom
SG   P4/mmm, No. 123
VASP energy   -6.31 eV per atom
Distance to the lowest polymorph of the same formula   0.000 eV per atom

Cell and atoms, written as extended XYZ:
```
5
Lattice="3.9133 0.0000 0.0000 0.0000 3.9133 0.0000 0.0000 0.0000 5.1756" Properties=species:S:1:pos:R:3 pbc="T T T"
Bi 0.0000 0.0000 0.0000
P 1.9567 1.9567 0.0000
Os 1.9567 1.9567 2.5878
O 0.0000 1.9567 2.5878
O 1.9567 0.0000 2.5878
```

18.
Compound: BiPOsO2
Source: Alexandria
Functional: PBE
Structure: optimized geometry

Properties
E_form (uncorrected)   912 meV per atom
SG   P4/mmm, No. 123
VASP energy   -5.18 eV per atom
Distance to the lowest polymorph of the same formula   1.132 eV per atom

Cell and atoms, written as extended XYZ:
```
5
Lattice="4.0590 0.0000 0.0000 0.0000 4.0590 0.0000 0.0000 0.0000 5.7022" Properties=species:S:1:pos:R:3 pbc="T T T"
Bi 0.0000 0.0000 0.0000
P 0.0000 0.0000 2.8511
Os 2.0295 2.0295 2.8511
O 0.0000 2.0295 0.0000
O 2.0295 0.0000 0.0000
```

19.
Compound: PaBiOsO6
Source: Alexandria
Functional: PBE
Structure: optimized geometry

Properties
E_form (uncorrected)   -1948 meV per atom
SG   P-31c, No. 163
VASP energy   -7.99 eV per atom

Cell and atoms, written as extended XYZ:
```
18
Lattice="5.4850 0.0000 0.0000 -2.7425 4.7501 0.0000 0.0000 0.0000 10.2481" Properties=species:S:1:pos:R:3 pbc="T T T"
Pa 0.0000 3.1668 2.5620
Pa 2.7425 1.5834 7.6861
Bi 0.0000 0.0000 0.0000
Bi 0.0000 0.0000 5.1240
Os 0.0000 3.1668 7.6861
Os 2.7425 1.5834 2.5620
O -0.8694 1.7359 6.5412
O -1.6738 3.1293 8.8310
O 0.8694 1.7359 8.8310
O -0.8044 4.6351 6.5412
O 1.9381 0.1151 1.4171
O 1.0687 1.6209 3.7069
O 1.6738 3.1293 6.5412
O 0.8044 4.6351 8.8310
O 3.5469 0.1151 3.7069
O 1.8731 3.0142 1.4171
O 4.4163 1.6209 1.4171
O 3.6119 3.0142 3.7069
```

20.
Compound: PaBi2OsO8
Source: Alexandria
Functional: PBE
Structure: optimized geometry

Properties
E_form (uncorrected)   -1758 meV per atom
SG   P2/m, No. 10
VASP energy   -7.44 eV per atom

Cell and atoms, written as extended XYZ:
```
12
Lattice="5.2716 0.0000 0.0000 0.0000 6.6786 0.0000 -0.0054 0.0000 5.2731" Properties=species:S:1:pos:R:3 pbc="T T T"
Pa 0.0000 0.0000 0.0000
Bi 2.6331 1.7170 2.6366
Bi 2.6331 4.9616 2.6366
Os 0.0000 3.3393 0.0000
O 0.9488 1.7198 0.9441
O 0.9488 4.9588 0.9441
O 1.2936 3.3393 3.9666
O 1.6013 0.0000 3.6646
O 3.6649 0.0000 1.6085
O 3.9726 3.3393 1.3066
O 4.3175 1.7198 4.3290
O 4.3175 4.9588 4.3290
```